# Ta3OsSe | the Alexandria database | PBE | optimized geometry
data_Ta3OsSe
_symmetry_space_group_name_H-M 'P m -3 m'
_symmetry_Int_Tables_number 221
_symmetry_space_group_name_Hall '-P 4 2 3'
_cell_length_a 4.871
_cell_length_b 4.871
_cell_length_c 4.871
_cell_angle_alpha 90.00
_cell_angle_beta 90.00
_cell_angle_gamma 90.00
loop_
_atom_site_label
_atom_site_type_symbol
_atom_site_fract_x
_atom_site_fract_y
_atom_site_fract_z
Ta1 Ta 0.000 0.000 0.500
Os1 Os 0.000 0.000 0.000
Se1 Se 0.500 0.500 0.500
# energy: -44.5 eV per cell
# formation energy without anion corrections: 1.15 eV per atom
# DOS at the Fermi energy: 7.10 states/eV per cell

# Ba3NaSn | the Alexandria database | PBE | optimized geometry
data_Ba3NaSn
_symmetry_space_group_name_H-M 'C m c m'
_symmetry_Int_Tables_number 63
_symmetry_space_group_name_Hall '-C 2c 2'
_cell_length_a 6.112
_cell_length_b 24.642
_cell_length_c 6.093
_cell_angle_alpha 90.00
_cell_angle_beta 90.00
_cell_angle_gamma 90.00
loop_
_atom_site_label
_atom_site_type_symbol
_atom_site_fract_x
_atom_site_fract_y
_atom_site_fract_z
Ba1 Ba 0.000 0.075 0.250
Ba2 Ba 0.000 0.249 0.250
Ba3 Ba 0.000 0.424 0.250
Na1 Na 0.000 0.336 0.750
Sn1 Sn 0.000 0.161 0.750
# energy: -50.5 eV per cell
# DOS at the Fermi energy: 15.46 states/eV per cell
# E_form: -0.306 eV per atom

# CsCu2Pb2 | the Alexandria database | PBE | optimized geometry
data_CsCu2Pb2
_symmetry_space_group_name_H-M 'I 4/m m m'
_symmetry_Int_Tables_number 139
_symmetry_space_group_name_Hall '-I 4 2'
_cell_length_a 4.910
_cell_length_b 4.910
_cell_length_c 13.031
_cell_angle_alpha 90.00
_cell_angle_beta 90.00
_cell_angle_gamma 90.00
loop_
_atom_site_label
_atom_site_type_symbol
_atom_site_fract_x
_atom_site_fract_y
_atom_site_fract_z
Cs1 Cs 0.000 0.000 0.000
Cu1 Cu 0.000 0.500 0.250
Pb1 Pb 0.000 0.000 0.335
# energy: -31.6 eV per cell
# DOS at the Fermi energy: 4.41 states/eV per cell
# E_form: 0.135 eV per atom

# U2PaTl2Te6 | the Alexandria database | PBE | optimized geometry
data_U2PaTl2Te6
_symmetry_space_group_name_H-M 'C 1 2/m 1'
_symmetry_Int_Tables_number 12
_symmetry_space_group_name_Hall '-C 2y'
_cell_length_a 7.489
_cell_length_b 12.977
_cell_length_c 8.837
_cell_angle_alpha 90.00
_cell_angle_beta 106.70
_cell_angle_gamma 90.00
loop_
_atom_site_label
_atom_site_type_symbol
_atom_site_fract_x
_atom_site_fract_y
_atom_site_fract_z
U1 U 0.000 0.168 0.000
Pa1 Pa 0.000 0.500 0.000
Tl1 Tl 0.000 0.333 0.500
Te1 Te 0.240 0.000 0.216
Te2 Te 0.240 0.336 0.218
# energy: -124.7 eV per cell
# formation energy without anion corrections: -0.61 eV per atom
# DOS at the Fermi energy: 24.45 states/eV per cell

# AcPuTeS | the Alexandria database | PBE | optimized geometry
data_AcPuTeS
_symmetry_space_group_name_H-M 'R 3 m'
_symmetry_Int_Tables_number 160
_symmetry_space_group_name_Hall 'R 3 -2"'
_cell_length_a 4.2965
_cell_length_b 4.2965
_cell_length_c 22.0424
_cell_angle_alpha 90.00
_cell_angle_beta 90.00
_cell_angle_gamma 120.00
loop_
_atom_site_label
_atom_site_type_symbol
_atom_site_fract_x
_atom_site_fract_y
_atom_site_fract_z
Ac1 Ac 0.0000 0.0000 0.0000
Pu1 Pu 0.0000 0.0000 0.5229
Te1 Te 0.0000 0.0000 0.7680
S1 S 0.0000 0.0000 0.2534
# energy: -95.8 eV per cell
# formation energy without anion corrections: -1.56 eV per atom
# DOS at the Fermi energy: 25.09 states/eV per cell

# SrRh2Br | the Alexandria database | PBE | optimized geometry
data_SrRh2Br
_symmetry_space_group_name_H-M 'P 4/m m m'
_symmetry_Int_Tables_number 123
_symmetry_space_group_name_Hall '-P 4 2'
_cell_length_a 3.608
_cell_length_b 3.608
_cell_length_c 6.299
_cell_angle_alpha 90.00
_cell_angle_beta 90.00
_cell_angle_gamma 90.00
loop_
_atom_site_label
_atom_site_type_symbol
_atom_site_fract_x
_atom_site_fract_y
_atom_site_fract_z
Sr1 Sr 0.000 0.000 0.000
Rh1 Rh 0.500 0.500 0.286
Br1 Br 0.000 0.000 0.500
# energy: -16.9 eV per cell
# formation energy without anion corrections: 0.29 eV per atom
# DOS at the Fermi energy: 3.78 states/eV per cell

# PrDyGaN3 | the Alexandria database | PBE | optimized geometry
data_PrDyGaN3
_symmetry_space_group_name_H-M 'P 1 21/m 1'
_symmetry_Int_Tables_number 11
_symmetry_space_group_name_Hall '-P 2yb'
_cell_length_a 7.358
_cell_length_b 3.471
_cell_length_c 7.643
_cell_angle_alpha 90.00
_cell_angle_beta 97.70
_cell_angle_gamma 90.00
loop_
_atom_site_label
_atom_site_type_symbol
_atom_site_fract_x
_atom_site_fract_y
_atom_site_fract_z
Pr1 Pr 0.176 0.250 0.186
Dy1 Dy 0.361 0.750 0.845
Ga1 Ga 0.105 0.250 0.604
N1 N 0.131 0.250 0.858
N2 N 0.167 0.750 0.496
N3 N 0.404 0.750 0.142
# energy: -86.2 eV per cell
# formation energy without anion corrections: -0.95 eV per atom

# LiSmDy2Se4 | the Alexandria database | PBE | optimized geometry
data_LiSmDy2Se4
_symmetry_space_group_name_H-M 'P 1 2/m 1'
_symmetry_Int_Tables_number 10
_symmetry_space_group_name_Hall '-P 2y'
_cell_length_a 7.078
_cell_length_b 4.069
_cell_length_c 7.080
_cell_angle_alpha 90.00
_cell_angle_beta 109.26
_cell_angle_gamma 90.00
loop_
_atom_site_label
_atom_site_type_symbol
_atom_site_fract_x
_atom_site_fract_y
_atom_site_fract_z
Li1 Li 0.000 0.000 0.000
Sm1 Sm 0.000 0.500 0.500
Dy1 Dy 0.500 0.000 0.500
Dy2 Dy 0.500 0.500 0.000
Se1 Se 0.248 0.500 0.243
Se2 Se 0.251 0.000 0.760
# energy: -43.8 eV per cell
# formation energy without anion corrections: -1.75 eV per atom
# DOS at the Fermi energy: 2.63 states/eV per cell

no.,theoretical density (g/cm3)
1,11.67
2,4.01
3,7.13
4,7.60
5,8.92
6,7.56
7,7.13
8,6.88